Material: KTiGa2
Method: DFT, PBE
State: relaxed

abc: 5.367 5.367 9.874
angles: 74.23 74.23 90.00
Sites, in units of the cell vectors:
K 0.500 0.500 0.000
K 0.250 0.750 0.500
Ga 0.875 0.125 0.250
Ga 0.875 0.625 0.250
Ga 0.375 0.125 0.750
Ga 0.875 0.125 0.750
Ti 0.000 0.000 0.000
Ti 0.750 0.250 0.500

Output
Magnetic moment   2.26 μB/f.u.
E above lowest polymorph   0.18 eV per formula unit
Raw total energy   -3.317 eV/atom
Formation energy from the elements   0.4445 eV/atom


Material: K3TiGa
Method: DFT, PBE
State: relaxed

abc: 6.418 6.418 6.418
angles: 90.00 90.00 90.00
Sites, in units of the cell vectors:
K 0.000 0.500 0.000
K 0.000 0.000 0.500
K 0.500 0.000 0.000
Ga 0.000 0.000 0.000
Ti 0.500 0.500 0.500

Output
Magnetic moment   0.87 μB/f.u.
E above lowest polymorph   0.00 eV per formula unit
Raw total energy   -1.762 eV/atom
Formation energy from the elements   1.0809 eV/atom


Material: K2TlGa
Method: DFT, PBE
State: relaxed

abc: 4.850 6.876 10.317
angles: 76.91 76.41 69.35
Sites, in units of the cell vectors:
K 0.180 0.303 0.337
K 0.818 0.837 0.526
K 0.463 0.369 0.706
K 0.817 0.346 0.021
Tl 0.143 0.925 0.788
Tl 0.493 0.748 0.266
Ga 0.062 0.781 0.096
Ga 0.567 0.906 0.959

Output
Magnetic moment   0.00 μB/f.u.
E above lowest polymorph   0.00 eV per formula unit
Raw total energy   -1.957 eV/atom
Formation energy from the elements   -0.0602 eV/atom


Material: KTl2Ga
Method: DFT, PBE
State: relaxed

abc: 3.818 3.818 8.437
angles: 90.00 90.00 90.00
Sites, in units of the cell vectors:
Tl 0.000 0.000 0.804
Tl 0.000 0.000 0.196
K 0.500 0.500 0.500
Ga 0.500 0.500 0.000

Output
Magnetic moment   0.00 μB/f.u.
E above lowest polymorph   0.04 eV per formula unit
Raw total energy   -2.262 eV/atom
Formation energy from the elements   -0.0475 eV/atom


Material: K4Tl5Ga
Method: DFT, PBE
State: relaxed

abc: 7.096 8.255 8.255
angles: 79.36 64.55 64.55
Sites, in units of the cell vectors:
K 0.856 0.628 0.761
K 0.617 0.239 0.628
K 0.484 0.761 0.372
K 0.245 0.372 0.239
Tl 0.245 0.719 0.870
Tl 0.114 0.130 0.719
Tl 0.964 0.870 0.281
Tl 0.834 0.281 0.130
Tl 0.360 0.000 0.000
Ga 0.770 0.000 0.000

Output
Magnetic moment   0.00 μB/f.u.
Raw total energy   -1.990 eV/atom
Formation energy from the elements   -0.0652 eV/atom


Material: K2Tl6Ga
Method: DFT, PBE
State: relaxed

abc: 3.630 9.523 9.523
angles: 65.57 80.15 80.15
Sites, in units of the cell vectors:
K 0.064 0.365 0.365
K 0.936 0.635 0.635
Tl 0.235 0.668 0.980
Tl 0.765 0.020 0.332
Tl 0.765 0.332 0.020
Tl 0.500 0.757 0.243
Tl 0.235 0.980 0.668
Tl 0.500 0.243 0.757
Ga 0.000 0.000 0.000

Output
Magnetic moment   0.00 μB/f.u.
Raw total energy   -2.182 eV/atom
Formation energy from the elements   -0.0242 eV/atom


Material: K3TlGa
Method: DFT, PBE
State: relaxed

abc: 6.518 6.518 6.518
angles: 90.00 90.00 90.00
Sites, in units of the cell vectors:
Tl 0.500 0.500 0.500
K 0.000 0.500 0.000
K 0.000 0.000 0.500
K 0.500 0.000 0.000
Ga 0.000 0.000 0.000

Output
Magnetic moment   0.46 μB/f.u.
E above lowest polymorph   0.00 eV per formula unit
Raw total energy   -1.472 eV/atom
Formation energy from the elements   0.2648 eV/atom


Material: K2Tl2Ga
Method: DFT, PBE
State: relaxed

abc: 4.763 4.763 8.855
angles: 74.40 74.40 90.00
Sites, in units of the cell vectors:
Tl 0.411 0.411 0.179
Tl 0.589 0.589 0.821
K 0.750 0.250 0.500
K 0.250 0.750 0.500
Ga 0.000 0.000 0.000

Output
Magnetic moment   0.00 μB/f.u.
E above lowest polymorph   1.44 eV per formula unit
Raw total energy   -1.705 eV/atom
Formation energy from the elements   0.2857 eV/atom